Computed, not measured: a geometry-optimized K2BeRu structure at the GGA-PBE level of DFT.

a b c (Å): 5.5095 2.8391 5.7829
angles (deg): 70.07 90.00 90.00
Atoms (fractional coordinates):
Ru 0.5000 0.2500 0.2500
K 0.0000 0.9221 0.9967
K 0.0000 0.5779 0.5033
Be 0.5000 0.7500 0.7500

Results
The value obtained for the energy of formation is 1.286 eV per atom.